A relaxed TcGe3Br crystal. Source: Alexandria, functional PBE-GGA.

The structure belongs to space group Pm-3m (No. 221); the cell edges are 5.066, 5.066 and 5.066 Å and the angles 90.00°, 90.00° and 90.00°. The distinct sites, in fractional coordinates, are Tc at (0.000, 0.000, 0.000), Ge at (0.000, 0.500, 0.500) and Br at (0.500, 0.500, 0.500).

Its total energy is -3.6346 eV per atom. For the offset from the most stable computed form, the calculation gives 787.6 kJ/mol of formula units. The calculation puts the formation energy without anion corrections at 1544 meV/atom. The calculated volume is 26.0 A^3/atom.